(1)
Entry from OQMD: crystalline FeReHgGe at its relaxed geometry (PBE).

Results
VASP energy: -5.429 eV/atom
energy above the most stable polymorph in this dataset: 0.2819 eV/atom
size of the total moment: 2.9 μB per formula unit
V: 16.315 Å³ per atom

The structure in POSCAR format:
```
FeReHgGe
1.0
0.000 3.196 3.196
3.196 0.000 3.196
3.196 3.196 0.000
Fe Re Hg Ge
1 1 1 1
direct
0.000 0.000 0.000
0.250 0.250 0.250
0.500 0.500 0.500
0.750 0.750 0.750
```



(2)
Entry from OQMD: crystalline Dy4HfW2 at its relaxed geometry (PBE).

Results
VASP energy: -6.907 eV/atom
ΔH_f (0 K): 847.8 meV/atom
size of the total moment: 0.1 μB per formula unit
V: 24.490 Å³ per atom

The structure in POSCAR format:
```
Dy4HfW2
1.0
4.659 -5.735 0.000
4.659 5.735 0.000
0.000 0.000 3.208
Dy Hf W
4 1 2
direct
0.202 0.202 0.500
0.221 0.779 0.000
0.779 0.221 0.000
0.798 0.798 0.500
0.500 0.500 0.000
0.000 0.500 0.500
0.500 0.000 0.500
```



(3)
Entry from OQMD: crystalline PrTcHg at its relaxed geometry (PBE).

Results
VASP energy: -4.477 eV/atom
ΔH_f (0 K): 667.2 meV/atom
size of the total moment: 1.5 μB per formula unit
V: 26.855 Å³ per atom

The structure in POSCAR format:
```
PrTcHg
1.0
0.000 3.428 3.428
3.428 0.000 3.428
3.428 3.428 0.000
Pr Tc Hg
1 1 1
direct
0.000 0.000 0.000
0.500 0.500 0.500
0.250 0.250 0.250
```